1.
Compound: Si3Mo
Source: Alexandria
Functional: PBE
Structure: optimized geometry

Computed properties:
Uncorrected formation energy (eV per atom): 0.3557
V (Å³/cell): 245.2
ΔE to the lowest computed polymorph (eV per atom): 0.4962

Cell lengths 5.2419, 9.0808, 5.1522 Å; angles 90.00, 90.00, 90.00 degrees
Space group Cmcm (No. 63)
Asymmetric unit:
Si: 0.0000 0.0005 0.2500 (multiplicity 4)
Si: 0.2502 0.2492 0.7500 (multiplicity 8)
Mo: 0.0000 0.5005 0.2500 (multiplicity 4)



2.
Compound: SiMo4
Source: Alexandria
Functional: PBE
Structure: optimized geometry

Computed properties:
Uncorrected formation energy (eV per atom): 0.9755
V (Å³/cell): 178.7
ΔE to the lowest computed polymorph (eV per atom): 1.1336

Cell lengths 5.6323, 5.6323, 5.6323 Å; angles 90.00, 90.00, 90.00 degrees
Space group Im-3m (No. 229)
Asymmetric unit:
Si: 0.0000 0.0000 0.0000 (multiplicity 2)
Mo: 0.2500 0.2500 0.2500 (multiplicity 8)



3.
Compound: Si2Mo
Source: Alexandria
Functional: PBE
Structure: optimized geometry

Computed properties:
Uncorrected formation energy (eV per atom): 0.2409
V (Å³/cell): 87.0

Cell lengths 2.7059, 2.7059, 11.8857 Å; angles 90.00, 90.00, 90.00 degrees
Space group I4/mmm (No. 139)
Asymmetric unit:
Si: 0.0000 0.0000 0.1626 (multiplicity 4)
Mo: 0.0000 0.0000 0.5000 (multiplicity 2)



4.
Compound: Si3Mo
Source: Alexandria
Functional: PBE
Structure: optimized geometry

Computed properties:
Uncorrected formation energy (eV per atom): 0.0441
V (Å³/cell): 113.7
ΔE to the lowest computed polymorph (eV per atom): 0.1846

Cell lengths 4.4931, 5.0753, 4.9866 Å; angles 90.00, 90.00, 90.00 degrees
Space group Pmmn (No. 59, origin choice 2)
Asymmetric unit:
Si: 0.2500 0.0019 0.1662 (multiplicity 4)
Si: 0.2500 0.7500 0.6039 (multiplicity 2)
Mo: 0.2500 0.2500 0.7145 (multiplicity 2)



5.
Compound: SiMo4
Source: Alexandria
Functional: PBE
Structure: optimized geometry

Computed properties:
Uncorrected formation energy (eV per atom): 1.0725
V (Å³/cell): 87.9
ΔE to the lowest computed polymorph (eV per atom): 1.2306

Cell lengths 4.4470, 4.4470, 4.4470 Å; angles 90.00, 90.00, 90.00 degrees
Space group Pm-3m (No. 221)
Asymmetric unit:
Si: 0.0000 0.0000 0.0000 (multiplicity 1)
Mo: 0.0000 0.0000 0.5000 (multiplicity 3)
Mo: 0.5000 0.5000 0.5000 (multiplicity 1)



6.
Compound: Si2Mo
Source: Alexandria
Functional: PBE
Structure: optimized geometry

Computed properties:
Uncorrected formation energy (eV per atom): -0.4759
V (Å³/cell): 121.8

Cell lengths 4.6122, 4.6122, 6.6134 Å; angles 90.00, 90.00, 120.00 degrees
Space group P6_222 (No. 180)
Asymmetric unit:
Si: 0.1640 0.3279 0.0000 (multiplicity 6)
Mo: 0.0000 0.5000 0.6667 (multiplicity 3)



7.
Compound: Si6Mo7
Source: Alexandria
Functional: PBE
Structure: optimized geometry

Computed properties:
Uncorrected formation energy (eV per atom): 0.1640
V (Å³/cell): 615.1

Cell lengths 5.2707, 5.2707, 25.5651 Å; angles 90.00, 90.00, 120.00 degrees
Space group R-3m (No. 166, hexagonal axes)
Asymmetric unit:
Si: 0.0000 0.0000 0.0490 (multiplicity 6)
Si: 0.0000 0.0000 0.1566 (multiplicity 6)
Si: 0.0000 0.0000 0.3339 (multiplicity 6)
Mo: 0.0000 0.0000 0.5000 (multiplicity 3)
Mo: 0.0052 0.5026 0.9173 (multiplicity 18)



8.
Compound: Si2Mo
Source: Alexandria
Functional: PBE
Structure: optimized geometry

Computed properties:
Uncorrected formation energy (eV per atom): -0.0784
V (Å³/cell): 172.9

Cell lengths 9.1260, 3.2293, 5.8837 Å; angles 90.00, 94.16, 90.00 degrees
Space group Cm (No. 8)
Asymmetric unit:
Si: 0.0000 0.0000 0.0000 (multiplicity 2)
Si: 0.0656 0.0000 0.6102 (multiplicity 2)
Si: 0.2293 0.5000 0.9088 (multiplicity 2)
Si: 0.3422 0.0000 0.2185 (multiplicity 2)
Mo: 0.1282 0.5000 0.2977 (multiplicity 2)
Mo: 0.3497 0.0000 0.6471 (multiplicity 2)



9.
Compound: Si5Mo4
Source: Alexandria
Functional: PBE
Structure: optimized geometry

Computed properties:
Uncorrected formation energy (eV per atom): 0.0449
V (Å³/cell): 256.6
ΔE to the lowest computed polymorph (eV per atom): 0.0315

Cell lengths 8.8182, 8.8182, 3.2997 Å; angles 90.00, 90.00, 90.00 degrees
Space group I4/mmm (No. 139)
Asymmetric unit:
Si: 0.0000 0.0000 0.0000 (multiplicity 2)
Si: 0.1741 0.1741 0.5000 (multiplicity 8)
Mo: 0.0000 0.3073 0.0000 (multiplicity 8)



10.
Compound: Si5Mo
Source: Alexandria
Functional: PBE
Structure: optimized geometry

Computed properties:
Uncorrected formation energy (eV per atom): 0.3722
V (Å³/cell): 87.5
ΔE to the lowest computed polymorph (eV per atom): 0.2217

Cell lengths 2.8413, 2.8413, 10.8338 Å; angles 90.00, 90.00, 90.00 degrees
Space group P4/mmm (No. 123)
Asymmetric unit:
Si: 0.0000 0.0000 0.0000 (multiplicity 1)
Si: 0.0000 0.0000 0.3426 (multiplicity 2)
Si: 0.5000 0.5000 0.1693 (multiplicity 2)
Mo: 0.5000 0.5000 0.5000 (multiplicity 1)



11.
Compound: SiMo
Source: Alexandria
Functional: PBE
Structure: optimized geometry

Computed properties:
Uncorrected formation energy (eV per atom): -0.4056
V (Å³/cell): 56.6

Cell lengths 3.1957, 3.1957, 5.5379 Å; angles 90.00, 90.00, 90.00 degrees
Space group P4/nmm (No. 129, origin choice 2)
Asymmetric unit:
Si: 0.2500 0.2500 0.1256 (multiplicity 2)
Mo: 0.2500 0.2500 0.6483 (multiplicity 2)



12.
Compound: SiMo3
Source: Alexandria
Functional: PBE
Structure: optimized geometry

Computed properties:
Uncorrected formation energy (eV per atom): -0.0625
V (Å³/cell): 239.0
ΔE to the lowest computed polymorph (eV per atom): 0.2624

Cell lengths 6.2059, 6.2059, 6.2059 Å; angles 90.00, 90.00, 90.00 degrees
Space group Fm-3m (No. 225)
Asymmetric unit:
Si: 0.0000 0.0000 0.0000 (multiplicity 4)
Mo: 0.0000 0.0000 0.5000 (multiplicity 4)
Mo: 0.2500 0.2500 0.2500 (multiplicity 8)